(1)
# Y3MgN, optimized geometry, DFT GGA-PBE
data_Y3MgN
_symmetry_space_group_name_H-M 'P 1'
_symmetry_Int_Tables_number 1
_symmetry_space_group_name_Hall 'P 1'
_cell_length_a 6.160
_cell_length_b 6.179
_cell_length_c 6.938
_cell_angle_alpha 66.76
_cell_angle_beta 84.61
_cell_angle_gamma 79.34
loop_
_atom_site_label
_atom_site_fract_x
_atom_site_fract_y
_atom_site_fract_z
_atom_site_occupancy
Y1 0.000 0.000 0.000 1
Y2 0.041 0.073 0.499 1
Y3 0.226 0.505 0.886 1
Y4 0.517 0.054 0.729 1
Y5 0.711 0.523 0.113 1
Y6 0.792 0.566 0.615 1
Mg1 0.265 0.544 0.392 1
Mg2 0.505 0.015 0.240 1
N1 0.144 0.283 0.692 1
N2 0.883 0.788 0.808 1
# Energy relative to the lowest polymorph listed for this composition: 101.7 meV/atom
# Formation energy without anion corrections: -0.621 eV per atom

***

(2)
# KCdPb2, optimized geometry, DFT GGA-PBE
data_KCdPb2
_symmetry_space_group_name_H-M 'P 1 2/m 1'
_symmetry_Int_Tables_number 10
_symmetry_space_group_name_Hall '-P 2y'
_cell_length_a 6.332
_cell_length_b 3.459
_cell_length_c 6.350
_cell_angle_alpha 90.00
_cell_angle_beta 114.40
_cell_angle_gamma 90.00
loop_
_atom_site_label
_atom_site_fract_x
_atom_site_fract_y
_atom_site_fract_z
_atom_site_occupancy
K1 0.000 0.000 0.000 1
Cd1 0.500 0.500 0.000 1
Pb1 0.000 0.500 0.500 1
Pb2 0.500 0.000 0.500 1
# Energy of formation from the pure elements: 22 meV per atom

***

Number 1: DOS at the Fermi energy 1.018 states/eV per atom. Number 2: DOS at the Fermi energy 0.540 states/eV per atom.